*A*
TbSmHgRu, optimized geometry, DFT PBE; space group = F-43m, No. 216
1.0
7.199 0.000 0.000
0.000 7.199 0.000
0.000 0.000 7.199
Tb Sm Hg Ru
4 4 4 4
Cartesian
0.000 0.000 0.000 Tb
0.000 3.600 3.600 Tb
3.600 0.000 3.600 Tb
3.600 3.600 0.000 Tb
0.000 0.000 3.600 Sm
0.000 3.600 0.000 Sm
3.600 0.000 0.000 Sm
3.600 3.600 3.600 Sm
1.800 1.800 5.399 Hg
1.800 5.399 1.800 Hg
5.399 1.800 1.800 Hg
5.399 5.399 5.399 Hg
1.800 1.800 1.800 Ru
1.800 5.399 5.399 Ru
5.399 1.800 5.399 Ru
5.399 5.399 1.800 Ru

***

*B*
TbSmHgRu, optimized geometry, DFT PBE; space group = P4mm, No. 99
1.0
3.516 0.000 0.000
0.000 3.516 0.000
0.000 0.000 7.639
Tb Sm Hg Ru
1 1 1 1
Cartesian
0.000 0.000 0.000 Tb
0.000 0.000 3.361 Sm
1.758 1.758 5.558 Hg
1.758 1.758 1.639 Ru

***

Most stable: *B* (next structure +10.2 kJ/mol of atoms)